Entry 1:
Computed, not measured: a geometry-optimized LiBr structure at the PBE level of DFT.

## Properties
ΔE_f (raw): -1444 meV per atom
Symmetry: No. 166
Density of states at the Fermi level: 0.000 states/eV/atom

Geometry as POSCAR:
```
LiBr
1.0
9.977 0.049 0.029
9.049 4.201 0.029
9.049 2.021 3.683
Br Li
2 2
Direct
0.956 0.956 0.956
0.794 0.794 0.794
0.461 0.461 0.461
0.289 0.289 0.289
```

Entry 2:
Computed, not measured: a geometry-optimized LiBr2 structure at the PBE level of DFT.

## Properties
Polymorph energy (0 for the lowest one): 97.8 meV per atom
ΔE_f (raw): -888 meV per atom
Symmetry: No. 2
Density of states at the Fermi level: 0.267 states/eV/atom

Geometry as POSCAR:
```
LiBr2
1.0
2.935 0.000 0.000
1.467 3.674 0.000
0.061 0.710 7.558
Li Br
1 2
Direct
0.000 0.000 0.000
0.674 0.662 0.774
0.326 0.338 0.226
```

Entry 3:
Computed, not measured: a geometry-optimized Li5Br4 structure at the PBE level of DFT.

## Properties
Polymorph energy (0 for the lowest one): 0.0 meV per atom
ΔE_f (raw): -1172 meV per atom
Symmetry: No. 139

Geometry as POSCAR:
```
Li5Br4
1.0
4.532 -6.164 2.943
-1.560 7.942 -1.299
-5.494 -0.551 6.058
Li Br
5 4
Direct
0.000 0.000 0.000
0.367 0.633 0.000
0.633 0.367 0.000
0.633 0.633 0.265
0.367 0.367 0.735
0.237 0.000 0.237
0.763 0.000 0.763
0.000 0.763 0.763
0.000 0.237 0.237
```

Entry 4:
Computed, not measured: a geometry-optimized LiBr2 structure at the PBE level of DFT.

## Properties
Polymorph energy (0 for the lowest one): 97.2 meV per atom
ΔE_f (raw): -889 meV per atom
Symmetry: No. 8
Density of states at the Fermi level: 0.044 states/eV/atom

Geometry as POSCAR:
```
LiBr2
1.0
1.974 4.590 -0.127
-1.974 4.590 -0.127
0.000 -0.090 11.030
Li Br
2 4
Direct
0.978 0.978 0.714
0.251 0.251 0.897
0.939 0.939 0.940
0.376 0.376 0.301
0.658 0.658 0.690
0.633 0.633 0.291
```

Entry 5:
Computed, not measured: a geometry-optimized Li2Br3 structure at the PBE level of DFT.

## Properties
Polymorph energy (0 for the lowest one): 0.0 meV per atom
ΔE_f (raw): -1035 meV per atom
Symmetry: No. 167
Density of states at the Fermi level: 1.108 states/eV/atom

Geometry as POSCAR:
```
Li2Br3
1.0
6.941 0.000 0.000
3.470 6.011 0.000
3.470 2.004 5.760
Br Li
6 4
Direct
0.076 0.750 0.750
0.750 0.424 0.750
0.424 0.076 0.750
0.250 0.576 0.250
0.576 0.924 0.250
0.924 0.250 0.250
0.846 0.846 0.461
0.346 0.346 0.961
0.154 0.154 0.539
0.654 0.654 0.039
```

Entry 6:
Computed, not measured: a geometry-optimized LiBr structure at the PBE level of DFT.

## Properties
ΔE_f (raw): -1549 meV per atom
Symmetry: No. 186
Density of states at the Fermi level: 0.000 states/eV/atom

Geometry as POSCAR:
```
LiBr
1.0
4.202 0.000 0.000
-2.101 3.639 0.000
0.000 0.000 6.733
Li Br
2 2
Direct
0.333 0.667 0.838
0.667 0.333 0.338
0.333 0.667 0.219
0.667 0.333 0.719
```